Entry 1:
Computed, not measured: Fe2Co2Ni7 after structural relaxation at the PBE level of DFT.

space group	Imm2, No. 44
polymorph energy (0 for the lowest one)	0	meV per atom
magnetization	1.20	μB/atom
calculated formation energy	94	kJ/mol of formula units
raw total energy	-6.4208	eV per atom

```
Fe2Co2Ni7
1.0
-1.055 2.544 -2.697
0.076 -4.212 -4.002
-4.924 -0.279 4.418
Ni Fe Co
7 2 2
Direct
0.658 0.780 0.316 Ni
0.852 0.190 0.704 Ni
0.342 0.464 0.684 Ni
0.148 0.486 0.296 Ni
0.856 0.764 0.711 Ni
0.500 0.915 0.000 Ni
0.144 0.053 0.289 Ni
0.696 0.319 0.391 Fe
0.304 0.928 0.609 Fe
0.000 0.616 0.000 Co
0.500 0.339 0.000 Co
```



Entry 2:
Computed, not measured: FeCoNi after structural relaxation at the PBE level of DFT.

space group	Pnma, No. 62
polymorph energy (0 for the lowest one)	1	meV per atom
magnetization	1.56	μB/atom
calculated formation energy	1	kJ/mol of formula units
raw total energy	-7.1134	eV per atom

```
FeCoNi
1.0
-0.537 3.540 1.908
-3.698 -1.520 1.780
3.903 -2.587 5.900
Ni Co Fe
4 4 4
Direct
0.750 0.339 0.502 Ni
0.750 0.839 0.998 Ni
0.250 0.661 0.498 Ni
0.250 0.161 0.002 Ni
0.250 0.169 0.672 Co
0.750 0.831 0.328 Co
0.750 0.331 0.172 Co
0.250 0.669 0.828 Co
0.750 0.341 0.838 Fe
0.250 0.659 0.162 Fe
0.250 0.159 0.338 Fe
0.750 0.841 0.662 Fe
```